A relaxed structure of DyBiPt, computed with PBE.

## Properties
* N(E_F): 4.3 states/eV per cell
* volume: 24.89 Å³ per atom
* energy of formation: -16.573 kcal/mol of atoms
* final energy: -5.56 eV per atom

Lattice parameters (Å, degrees): 3.5486 3.5486 11.8599 90.00 90.00 90.00
Space group I4mm (No. 107)
Asymmetric unit:
1 Dy 0.0000 0.0000 0.0000 (multiplicity 2)
2 Bi 0.0000 0.0000 0.2888 (multiplicity 2)
3 Pt 0.0000 0.0000 0.6184 (multiplicity 2)